VASP calculation (PBE) on crystalline NdZrIn6 at its relaxed geometry.

crystal system: tetragonal
size of the total moment: 0.000 μB per atom
VASP energy: -32.36 eV/cell

Cell: 4.6306 4.6306 9.1635 Å, 90.00 90.00 90.00°
With the nearest neighbours (Å) after each atom.
Fractional coordinates of all 8 atoms:
Zr1 0.0000 0.0000 0.5000  12 In 3.19-3.27
In1 0.0000 0.5000 0.2608  2 Zr 3.19, 8 In 3.19-3.33, 2 Nd 3.33
In2 0.5000 0.5000 0.0000  4 Nd 3.27, 8 In 3.33
In3 0.5000 0.0000 0.7392  2 Zr 3.19, 8 In 3.19-3.33, 2 Nd 3.33
In4 0.5000 0.0000 0.2608  2 Zr 3.19, 8 In 3.19-3.33, 2 Nd 3.33
In5 0.0000 0.5000 0.7392  2 Zr 3.19, 8 In 3.19-3.33, 2 Nd 3.33
In6 0.5000 0.5000 0.5000  8 In 3.19, 4 Zr 3.27
Nd1 0.0000 0.0000 0.0000  12 In 3.27-3.33

VASP calculation (PBE) on crystalline NaCd2Ru2 at its relaxed geometry.

crystal system: tetragonal
size of the total moment: 0.328 μB per atom
VASP energy: -39.64 eV/cell

Cell: 8.2308 8.2308 2.8882 Å, 90.00 90.00 90.00°
With the nearest neighbours (Å) after each atom.
Fractional coordinates of all 10 atoms:
Cd1 0.1890 0.6890 0.5000  6 Ru 2.83-2.89, 2 Cd 2.89
Cd2 0.8110 0.3110 0.5000  6 Ru 2.83-2.89, 2 Cd 2.89
Cd3 0.6890 0.8110 0.5000  6 Ru 2.83-2.89, 2 Cd 2.89
Cd4 0.3110 0.1890 0.5000  6 Ru 2.83-2.89, 2 Cd 2.89
Na1 0.5000 0.5000 0.0000  2 Na 2.89
Na2 0.0000 0.0000 0.0000  2 Na 2.89
Ru1 0.8977 0.6023 0.0000  1 Ru 2.38
Ru2 0.6023 0.1023 0.0000  1 Ru 2.38
Ru3 0.3977 0.8977 0.0000  1 Ru 2.38
Ru4 0.1023 0.3977 0.0000  1 Ru 2.38

VASP calculation (PBE) on crystalline Y2SnAs at its relaxed geometry.

crystal system: cubic
size of the total moment: 0.000 μB per atom
offset from the most stable computed form: 426 meV per atom

Cell: 5.2400 5.2400 5.2400 Å, 60.00 60.00 60.00°
With the nearest neighbours (Å) after each atom.
Fractional coordinates of all 4 atoms:
Y1 0.7500 0.7500 0.7500  4 Sn 3.21, 4 As 3.21
Y2 0.2500 0.2500 0.2500  4 Sn 3.21, 4 As 3.21
Sn1 0.5000 0.5000 0.5000  8 Y 3.21
As1 0.0000 0.0000 0.0000  8 Y 3.21